A plane-wave DFT calculation with PBE-GGA was carried out for an optimized crystal structure of La4Cd2Cl.

Properties
Density = 6.13 g/cm3
Uncorrected formation energy = -0.602 eV/atom

Lattice parameters (Å, degrees): 13.289 4.238 9.355 90.00 122.93 90.00
Space group C2/m (No. 12)
Asymmetric unit:
1 La 0.089 0.000 0.364 x4
2 La 0.169 0.500 0.075 x4
3 Cd 0.122 0.500 0.669 x4
4 Cl 0.000 0.000 0.000 x2